# Na3Tb2TiS6

A relaxed structure of Na3Tb2TiS6 (PBE, Alexandria via LeMat-Bulk).

energy: -5.459 eV per atom
symmetry: C2/m
energy relative to the elements, uncorrected: -1.64 eV/atom
mass density: 3.99 g cm⁻³

```
Na3Tb2TiS6
1.0
-5.8662 0.6789 3.1946
5.3438 -2.4062 3.2760
1.8697 6.7841 -0.3620
Na Tb Ti S
3 2 1 6
Direct
0.1684 0.8316 0.5000
0.8316 0.1684 0.5000
0.5000 0.5000 0.5000
0.3326 0.6674 0.0000
0.6674 0.3326 0.0000
0.0000 0.0000 0.0000
0.9250 0.6126 0.7771
0.7631 0.7631 0.2186
0.0750 0.3874 0.2229
0.6126 0.9250 0.7771
0.2369 0.2369 0.7814
0.3874 0.0750 0.2229
```